# InFeTc2Ni, relaxed, DFT PBEsol
data_InFeTc2Ni
_space_group_name_H-M_alt 'P 4/m m m'
_space_group_IT_number 123
_space_group_name_Hall '-P 4 2'
_cell_length_a 4.852
_cell_length_b 4.852
_cell_length_c 4.569
_cell_angle_alpha 90.00
_cell_angle_beta 90.00
_cell_angle_gamma 90.00
loop_
_atom_site_label
_atom_site_type_symbol
_atom_site_fract_x
_atom_site_fract_y
_atom_site_fract_z
In1 In 0.000 0.000 0.000
Fe1 Fe 0.000 0.000 0.500
Tc1 Tc 0.000 0.500 0.000
Ni1 Ni 0.500 0.500 0.500
# Density of states at the Fermi level ... 9.5 states/eV/cell
# Magnetization ... 8.4 μB/f.u.
# Formation enthalpy at 0 K ... 1264 kJ/mol of formula units
# Calculated density ... 6.57 g/cm³

=====

# Ba2CdAu, relaxed, DFT PBEsol
data_Ba2CdAu
_space_group_name_H-M_alt 'P 4/m m m'
_space_group_IT_number 123
_space_group_name_Hall '-P 4 2'
_cell_length_a 4.016
_cell_length_b 4.016
_cell_length_c 8.188
_cell_angle_alpha 90.00
_cell_angle_beta 90.00
_cell_angle_gamma 90.00
loop_
_atom_site_label
_atom_site_type_symbol
_atom_site_fract_x
_atom_site_fract_y
_atom_site_fract_z
Ba1 Ba 0.000 0.000 0.232
Cd1 Cd 0.500 0.500 0.500
Au1 Au 0.500 0.500 0.000
# Density of states at the Fermi level ... 4.3 states/eV/cell
# Magnetization ... 0.0 μB/f.u.
# Formation enthalpy at 0 K ... -171 kJ/mol of formula units
# Calculated density ... 7.34 g/cm³